The following is a DFT calculation (GGA-PBE) of a relaxed structure of Mg2Au.

For the final energy, the calculation gives -2.487 eV per atom. As for the space group: Pm. The calculation puts the calculated density at 7.2 g/cm3.

abc: 5.2898 4.6134 5.3074
angles: 90.00 119.56 90.00
Sites, in units of the cell vectors:
Mg 0.0000 0.0000 0.0000
Mg 0.0006 0.5000 0.3525
Mg 0.3529 0.5000 0.0002
Mg 0.6481 0.5000 0.6476
Au 0.3336 0.0000 0.6668
Au 0.6668 0.0000 0.3332


The following is a DFT calculation (GGA-PBE) of a relaxed structure of BiIrS2.

The calculation puts the total magnetic moment at 0.000 μB/atom. For the final energy, the calculation gives -5.591 eV per atom. As for the space group: R-3m. The calculation puts the calculated density at 8.6 g/cm3.

abc: 8.3352 8.3352 8.3352
angles: 24.87 24.87 24.87
Sites, in units of the cell vectors:
Bi 0.0000 0.0000 0.0000
Ir 0.5000 0.5000 0.5000
S 0.1185 0.1185 0.1185
S 0.8815 0.8815 0.8815


The following is a DFT calculation (GGA-PBE) of a relaxed structure of Gd3Nb2Re3N12.

The calculation puts the total magnetic moment at 0.002 μB/atom. For the final energy, the calculation gives -9.292 eV per atom. As for the space group: Ia-3d. The calculation puts the calculated density at 8.7 g/cm3.

abc: 11.1036 11.1036 11.1036
angles: 109.47 109.47 109.47
Sites, in units of the cell vectors:
Gd 0.1250 0.2500 0.3750
Gd 0.1250 0.3750 0.7500
Gd 0.2500 0.3750 0.1250
Gd 0.2500 0.8750 0.6250
Gd 0.3750 0.1250 0.2500
Gd 0.3750 0.7500 0.1250
Gd 0.6250 0.2500 0.8750
Gd 0.6250 0.8750 0.7500
Gd 0.7500 0.1250 0.3750
Gd 0.7500 0.6250 0.8750
Gd 0.8750 0.6250 0.2500
Gd 0.8750 0.7500 0.6250
Nb 0.0000 0.0000 0.0000
Nb 0.0000 0.0000 0.5000
Nb 0.0000 0.5000 0.0000
Nb 0.0000 0.5000 0.5000
Nb 0.5000 0.0000 0.0000
Nb 0.5000 0.0000 0.5000
Nb 0.5000 0.5000 0.0000
Nb 0.5000 0.5000 0.5000
Re 0.1250 0.7500 0.8750
Re 0.1250 0.8750 0.2500
Re 0.2500 0.1250 0.8750
Re 0.2500 0.6250 0.3750
Re 0.3750 0.2500 0.6250
Re 0.3750 0.6250 0.7500
Re 0.6250 0.3750 0.2500
Re 0.6250 0.7500 0.3750
Re 0.7500 0.3750 0.6250
Re 0.7500 0.8750 0.1250
Re 0.8750 0.1250 0.7500
Re 0.8750 0.2500 0.1250
N 0.0205 0.2063 0.1185
N 0.0205 0.3142 0.9020
N 0.0878 0.7063 0.6858
N 0.0878 0.8815 0.4020
N 0.0980 0.6185 0.4122
N 0.0980 0.9795 0.6858
N 0.1185 0.0205 0.2063
N 0.1185 0.5980 0.9122
N 0.1858 0.2063 0.5878
N 0.1858 0.4795 0.5980
N 0.2063 0.1185 0.0205
N 0.2063 0.5878 0.1858
N 0.2937 0.3142 0.9122
N 0.2937 0.4795 0.3815
N 0.3142 0.9020 0.0205
N 0.3142 0.9122 0.2937
N 0.3815 0.2937 0.4795
N 0.3815 0.5878 0.9020
N 0.4020 0.0878 0.8815
N 0.4020 0.8142 0.5205
N 0.4122 0.0980 0.6185
N 0.4122 0.8142 0.7937
N 0.4795 0.3815 0.2937
N 0.4795 0.5980 0.1858
N 0.5205 0.4020 0.8142
N 0.5205 0.6185 0.7063
N 0.5878 0.1858 0.2063
N 0.5878 0.9020 0.3815
N 0.5980 0.1858 0.4795
N 0.5980 0.9122 0.1185
N 0.6185 0.4122 0.0980
N 0.6185 0.7063 0.5205
N 0.6858 0.0878 0.7063
N 0.6858 0.0980 0.9795
N 0.7063 0.5205 0.6185
N 0.7063 0.6858 0.0878
N 0.7937 0.4122 0.8142
N 0.7937 0.8815 0.9795
N 0.8142 0.5205 0.4020
N 0.8142 0.7937 0.4122
N 0.8815 0.4020 0.0878
N 0.8815 0.9795 0.7937
N 0.9020 0.0205 0.3142
N 0.9020 0.3815 0.5878
N 0.9122 0.1185 0.5980
N 0.9122 0.2937 0.3142
N 0.9795 0.6858 0.0980
N 0.9795 0.7937 0.8815


The following is a DFT calculation (GGA-PBE) of a relaxed structure of MgTaNiGe.

The calculation puts the total magnetic moment at 0.202 μB/atom. For the final energy, the calculation gives -5.505 eV per atom. As for the space group: F-43m. Its offset from the most stable computed form is 0.59 eV/f.u. The calculation puts the calculated density at 8.8 g/cm3.

abc: 4.4713 4.4713 4.4713
angles: 60.00 60.00 60.00
Sites, in units of the cell vectors:
Mg 0.0000 0.0000 0.0000
Ta 0.7500 0.7500 0.7500
Ni 0.5000 0.5000 0.5000
Ge 0.2500 0.2500 0.2500


The following is a DFT calculation (GGA-PBE) of a relaxed structure of CdCoHgSb.

The calculation puts the total magnetic moment at 0.383 μB/atom. For the final energy, the calculation gives -2.645 eV per atom. As for the space group: F-43m. Its offset from the most stable computed form is 0.00 eV/f.u. The calculation puts the calculated density at 10.1 g/cm3.

abc: 4.8608 4.8608 4.8608
angles: 60.00 60.00 60.00
Sites, in units of the cell vectors:
Cd 0.0000 0.0000 0.0000
Co 0.5000 0.5000 0.5000
Hg 0.7500 0.7500 0.7500
Sb 0.2500 0.2500 0.2500


The following is a DFT calculation (GGA-PBE) of a relaxed structure of DyCuGe.

The calculation puts the total magnetic moment at 0.000 μB/atom. For the final energy, the calculation gives -4.893 eV per atom. As for the space group: F-43m. The calculation puts the calculated density at 8.2 g/cm3.

abc: 4.4101 4.4101 4.4101
angles: 60.00 60.00 60.00
Sites, in units of the cell vectors:
Dy 0.0000 0.0000 0.0000
Cu 0.2500 0.2500 0.2500
Ge 0.5000 0.5000 0.5000